CuAs2Cl: optimized geometry, GGA-PBE.

Values from the calculation:
As for the formation energy without anion corrections: 0.2160 eV/atom. The energy above the most stable polymorph in this dataset comes out at 388.2 meV per atom.

Cell and atoms, written as CIF:
```
data_CuAs2Cl
_chemical_formula_sum 'Cu1 As2 Cl1'
_space_group_name_H-M_alt 'P 1'
_space_group_IT_number 1
_cell_length_a 7.594
_cell_length_b 3.571
_cell_length_c 3.571
_cell_angle_alpha 90.00
_cell_angle_beta 90.00
_cell_angle_gamma 90.00
loop_
_space_group_symop_operation_xyz
'x,y,z'
loop_
_atom_site_label
_atom_site_type_symbol
_atom_site_fract_x
_atom_site_fract_y
_atom_site_fract_z
As1 As 0.000 0.500 0.500
As2 As 0.000 0.000 0.000
Cu1 Cu 0.500 0.000 0.500
Cl1 Cl 0.500 0.500 0.000
```

***

SnHg2I: optimized geometry, GGA-PBE.

Values from the calculation:
As for the formation energy without anion corrections: -0.0177 eV/atom. The energy above the most stable polymorph in this dataset comes out at 0.0 meV per atom.

Cell and atoms, written as CIF:
```
data_SnHg2I
_chemical_formula_sum 'Sn1 Hg2 I1'
_space_group_name_H-M_alt 'P 1'
_space_group_IT_number 1
_cell_length_a 4.271
_cell_length_b 4.271
_cell_length_c 8.418
_cell_angle_alpha 75.30
_cell_angle_beta 75.30
_cell_angle_gamma 60.00
loop_
_space_group_symop_operation_xyz
'x,y,z'
loop_
_atom_site_label
_atom_site_type_symbol
_atom_site_fract_x
_atom_site_fract_y
_atom_site_fract_z
I1 I 0.498 0.498 0.507
Hg1 Hg 0.260 0.260 0.220
Hg2 Hg 0.075 0.075 0.776
Sn1 Sn 0.668 0.668 0.996
```

***

Pm2PuCu3Ge4: optimized geometry, GGA-PBE.

Values from the calculation:
The calculated formation energy is -382.2 meV per atom.

Cell and atoms, written as CIF:
```
data_Pm2PuCu3Ge4
_chemical_formula_sum 'Pm2 Pu1 Cu3 Ge4'
_space_group_name_H-M_alt 'P 1'
_space_group_IT_number 1
_cell_length_a 4.283
_cell_length_b 4.283
_cell_length_c 11.045
_cell_angle_alpha 90.00
_cell_angle_beta 90.00
_cell_angle_gamma 90.00
loop_
_space_group_symop_operation_xyz
'x,y,z'
loop_
_atom_site_label
_atom_site_type_symbol
_atom_site_fract_x
_atom_site_fract_y
_atom_site_fract_z
Ge1 Ge 0.500 0.000 0.667
Ge2 Ge 0.000 0.000 0.000
Ge3 Ge 0.500 0.500 0.000
Ge4 Ge 0.000 0.500 0.333
Pu1 Pu 0.500 0.500 0.500
Pm1 Pm 0.000 0.500 0.776
Pm2 Pm 0.500 0.000 0.224
Cu1 Cu 0.000 0.000 0.500
Cu2 Cu 0.500 0.000 0.884
Cu3 Cu 0.000 0.500 0.116
```

***

NiBi2Ru: optimized geometry, GGA-PBE.

Values from the calculation:
The calculated formation energy is 633.3 meV per atom. The energy above the most stable polymorph in this dataset comes out at 212.7 meV per atom.

Cell and atoms, written as CIF:
```
data_NiBi2Ru
_chemical_formula_sum 'Ni2 Bi4 Ru2'
_space_group_name_H-M_alt 'P 1'
_space_group_IT_number 1
_cell_length_a 6.286
_cell_length_b 6.286
_cell_length_c 7.010
_cell_angle_alpha 63.36
_cell_angle_beta 63.36
_cell_angle_gamma 90.00
loop_
_space_group_symop_operation_xyz
'x,y,z'
loop_
_atom_site_label
_atom_site_type_symbol
_atom_site_fract_x
_atom_site_fract_y
_atom_site_fract_z
Bi1 Bi 0.134 0.625 0.250
Bi2 Bi 0.375 0.384 0.750
Bi3 Bi 0.616 0.125 0.250
Bi4 Bi 0.875 0.866 0.750
Ni1 Ni 0.250 0.750 0.500
Ni2 Ni 0.500 0.500 0.000
Ru1 Ru 0.750 0.250 0.500
Ru2 Ru 0.000 0.000 0.000
```

***

Ti3NbB4: optimized geometry, GGA-PBE.

Values from the calculation:
The calculated formation energy is -399.7 meV per atom.

Cell and atoms, written as CIF:
```
data_Ti3NbB4
_chemical_formula_sum 'Ti3 Nb1 B4'
_space_group_name_H-M_alt 'P 1'
_space_group_IT_number 1
_cell_length_a 3.200
_cell_length_b 4.883
_cell_length_c 6.818
_cell_angle_alpha 110.98
_cell_angle_beta 103.57
_cell_angle_gamma 90.00
loop_
_space_group_symop_operation_xyz
'x,y,z'
loop_
_atom_site_label
_atom_site_type_symbol
_atom_site_fract_x
_atom_site_fract_y
_atom_site_fract_z
Ti1 Ti 0.807 0.806 0.613
Ti2 Ti 0.193 0.194 0.387
Ti3 Ti 0.000 0.500 0.000
B1 B 0.634 0.804 0.267
B2 B 0.366 0.196 0.733
B3 B 0.366 0.536 0.733
B4 B 0.634 0.464 0.267
Nb1 Nb 0.500 0.000 0.000
```

***

ZnSiCl2: optimized geometry, GGA-PBE.

Values from the calculation:
As for the formation energy without anion corrections: -0.1046 eV/atom. The energy above the most stable polymorph in this dataset comes out at 215.5 meV per atom.

Cell and atoms, written as CIF:
```
data_ZnSiCl2
_chemical_formula_sum 'Zn1 Si1 Cl2'
_space_group_name_H-M_alt 'P 1'
_space_group_IT_number 1
_cell_length_a 3.778
_cell_length_b 3.778
_cell_length_c 10.100
_cell_angle_alpha 81.07
_cell_angle_beta 81.07
_cell_angle_gamma 60.03
loop_
_space_group_symop_operation_xyz
'x,y,z'
loop_
_atom_site_label
_atom_site_type_symbol
_atom_site_fract_x
_atom_site_fract_y
_atom_site_fract_z
Cl1 Cl 0.458 0.458 0.601
Cl2 Cl 0.042 0.042 0.899
Si1 Si 0.750 0.750 0.750
Zn1 Zn 0.250 0.250 0.250
```

***

CsInIBr: optimized geometry, GGA-PBE.

Values from the calculation:
As for the formation energy without anion corrections: -1.0839 eV/atom. The energy above the most stable polymorph in this dataset comes out at 0.0 meV per atom.

Cell and atoms, written as CIF:
```
data_CsInIBr
_chemical_formula_sum 'Cs1 In1 I1 Br1'
_space_group_name_H-M_alt 'P 1'
_space_group_IT_number 1
_cell_length_a 5.141
_cell_length_b 5.708
_cell_length_c 7.031
_cell_angle_alpha 90.27
_cell_angle_beta 90.00
_cell_angle_gamma 90.00
loop_
_space_group_symop_operation_xyz
'x,y,z'
loop_
_atom_site_label
_atom_site_type_symbol
_atom_site_fract_x
_atom_site_fract_y
_atom_site_fract_z
Cs1 Cs 0.500 0.425 0.095
I1 I 0.000 0.927 0.087
In1 In 0.000 0.950 0.594
Br1 Br 0.500 0.264 0.594
```

***

InSi2W2: optimized geometry, GGA-PBE.

Values from the calculation:
As for the formation energy without anion corrections: 0.2915 eV/atom.

Cell and atoms, written as CIF:
```
data_InSi2W2
_chemical_formula_sum 'In2 Si4 W4'
_space_group_name_H-M_alt 'P 1'
_space_group_IT_number 1
_cell_length_a 7.375
_cell_length_b 7.375
_cell_length_c 2.934
_cell_angle_alpha 90.00
_cell_angle_beta 90.00
_cell_angle_gamma 90.00
loop_
_space_group_symop_operation_xyz
'x,y,z'
loop_
_atom_site_label
_atom_site_type_symbol
_atom_site_fract_x
_atom_site_fract_y
_atom_site_fract_z
W1 W 0.651 0.849 0.500
W2 W 0.349 0.151 0.500
W3 W 0.849 0.349 0.500
W4 W 0.151 0.651 0.500
In1 In 0.000 0.000 0.000
In2 In 0.500 0.500 0.000
Si1 Si 0.139 0.361 0.000
Si2 Si 0.639 0.139 0.000
Si3 Si 0.361 0.861 0.000
Si4 Si 0.861 0.639 0.000
```